## CaBeBr (GGA-PBE)

Data for a relaxed CaBeBr crystal.

a = 5.023 Å, b = 5.023 Å, c = 5.023 Å
α = 60.00°, β = 60.00°, γ = 60.00°
Fractional positions:
Ca 0.000 0.000 0.000
Be 0.750 0.750 0.750
Br 0.250 0.250 0.250

Raw formation energy, eV/atom: 0.11
Energy relative to the lowest polymorph listed for this composition, meV per atom: 254.8
D(E_F), states/eV per atom: 0.584
Total DFT energy (no corrections), eV per atom: -2.357